No. 1
Compound: AgB3W
Source: Alexandria via LeMat-Bulk
Functional: PBE
Structure: optimized geometry

Calculated values
SG	Pm-3m
relative energy among the computed polymorphs	5.78	eV/f.u.
energy	-4.673	eV per atom
E_form	1203	kJ/mol of formula units

The structure in CIF format:
```
data_AgB3W
_cell_length_a 4.029
_cell_length_b 4.029
_cell_length_c 4.029
_cell_angle_alpha 90.00
_cell_angle_beta 90.00
_cell_angle_gamma 90.00
_symmetry_space_group_name_H-M 'P 1'
_symmetry_Int_Tables_number 1
loop_
_symmetry_equiv_pos_as_xyz
'x,y,z'
loop_
_atom_site_label
_atom_site_type_symbol
_atom_site_fract_x
_atom_site_fract_y
_atom_site_fract_z
Ag1 Ag 0.000 0.000 0.000
B1 B 0.000 0.000 0.500
B2 B 0.000 0.500 0.000
B3 B 0.500 0.000 0.000
W1 W 0.500 0.500 0.500
```

---

No. 2
Compound: AgBW2
Source: Alexandria via LeMat-Bulk
Functional: PBE
Structure: optimized geometry

Calculated values
SG	Cm
energy	-8.568	eV per atom
E_form	112	kJ/mol of formula units

The structure in CIF format:
```
data_AgBW2
_cell_length_a 4.535
_cell_length_b 4.535
_cell_length_c 6.468
_cell_angle_alpha 101.99
_cell_angle_beta 101.99
_cell_angle_gamma 62.43
_symmetry_space_group_name_H-M 'P 1'
_symmetry_Int_Tables_number 1
loop_
_symmetry_equiv_pos_as_xyz
'x,y,z'
loop_
_atom_site_label
_atom_site_type_symbol
_atom_site_fract_x
_atom_site_fract_y
_atom_site_fract_z
Ag1 Ag 0.000 0.000 0.000
Ag2 Ag 0.683 0.683 0.137
B1 B 0.334 0.711 0.697
B2 B 0.711 0.334 0.697
W1 W 0.056 0.056 0.422
W2 W 0.286 0.286 0.807
W3 W 0.384 0.384 0.365
W4 W 0.765 0.765 0.593
```

---

No. 3
Compound: AgBW2
Source: Alexandria via LeMat-Bulk
Functional: PBE
Structure: optimized geometry

Calculated values
SG	Cm
energy	-8.660	eV per atom
E_form	77	kJ/mol of formula units

The structure in CIF format:
```
data_AgBW2
_cell_length_a 5.402
_cell_length_b 5.402
_cell_length_c 7.806
_cell_angle_alpha 110.99
_cell_angle_beta 110.99
_cell_angle_gamma 33.19
_symmetry_space_group_name_H-M 'P 1'
_symmetry_Int_Tables_number 1
loop_
_symmetry_equiv_pos_as_xyz
'x,y,z'
loop_
_atom_site_label
_atom_site_type_symbol
_atom_site_fract_x
_atom_site_fract_y
_atom_site_fract_z
Ag1 Ag 0.000 0.000 0.000
Ag2 Ag 0.742 0.742 0.032
B1 B 0.652 0.652 0.491
B2 B 0.843 0.843 0.568
W1 W 0.242 0.242 0.345
W2 W 0.255 0.255 0.717
W3 W 0.516 0.516 0.676
W4 W 0.979 0.979 0.379
```

---

No. 4
Compound: AgBW2
Source: Alexandria via LeMat-Bulk
Functional: PBE
Structure: optimized geometry

Calculated values
SG	P1
energy	-8.739	eV per atom
E_form	46	kJ/mol of formula units

The structure in CIF format:
```
data_AgBW2
_cell_length_a 3.041
_cell_length_b 4.483
_cell_length_c 8.563
_cell_angle_alpha 99.01
_cell_angle_beta 99.86
_cell_angle_gamma 90.04
_symmetry_space_group_name_H-M 'P 1'
_symmetry_Int_Tables_number 1
loop_
_symmetry_equiv_pos_as_xyz
'x,y,z'
loop_
_atom_site_label
_atom_site_type_symbol
_atom_site_fract_x
_atom_site_fract_y
_atom_site_fract_z
Ag1 Ag 0.000 0.000 0.000
Ag2 Ag 0.445 0.468 0.890
B1 B 0.222 0.876 0.458
B2 B 0.699 0.645 0.413
W1 W 0.102 0.564 0.212
W2 W 0.268 0.408 0.555
W3 W 0.650 0.108 0.311
W4 W 0.819 0.957 0.660
```

---

No. 5
Compound: AgBW2
Source: Alexandria via LeMat-Bulk
Functional: PBE
Structure: optimized geometry

Calculated values
SG	P2_1/m
energy	-8.772	eV per atom
E_form	33	kJ/mol of formula units

The structure in CIF format:
```
data_AgBW2
_cell_length_a 4.566
_cell_length_b 3.039
_cell_length_c 8.096
_cell_angle_alpha 90.00
_cell_angle_beta 97.53
_cell_angle_gamma 90.00
_symmetry_space_group_name_H-M 'P 1'
_symmetry_Int_Tables_number 1
loop_
_symmetry_equiv_pos_as_xyz
'x,y,z'
loop_
_atom_site_label
_atom_site_type_symbol
_atom_site_fract_x
_atom_site_fract_y
_atom_site_fract_z
Ag1 Ag 0.239 0.250 0.452
Ag2 Ag 0.761 0.750 0.548
B1 B 0.387 0.250 0.978
B2 B 0.613 0.750 0.022
W1 W 0.145 0.750 0.127
W2 W 0.315 0.750 0.772
W3 W 0.685 0.250 0.228
W4 W 0.855 0.250 0.873
```

---

No. 6
Compound: AgBW2
Source: Alexandria via LeMat-Bulk
Functional: PBE
Structure: optimized geometry

Calculated values
SG	Immm
energy	-8.647	eV per atom
E_form	82	kJ/mol of formula units

The structure in CIF format:
```
data_AgBW2
_cell_length_a 9.005
_cell_length_b 9.005
_cell_length_c 9.005
_cell_angle_alpha 161.17
_cell_angle_beta 150.92
_cell_angle_gamma 34.87
_symmetry_space_group_name_H-M 'P 1'
_symmetry_Int_Tables_number 1
loop_
_symmetry_equiv_pos_as_xyz
'x,y,z'
loop_
_atom_site_label
_atom_site_type_symbol
_atom_site_fract_x
_atom_site_fract_y
_atom_site_fract_z
Ag1 Ag 0.229 0.229 0.000
Ag2 Ag 0.771 0.771 0.000
B1 B 0.302 0.000 0.302
B2 B 0.698 0.000 0.698
W1 W 0.075 0.575 0.500
W2 W 0.380 0.880 0.500
W3 W 0.620 0.120 0.500
W4 W 0.925 0.425 0.500
```

---

No. 7
Compound: AgBW2
Source: Alexandria via LeMat-Bulk
Functional: PBE
Structure: optimized geometry

Calculated values
SG	P1
energy	-8.510	eV per atom
E_form	135	kJ/mol of formula units

The structure in CIF format:
```
data_AgBW2
_cell_length_a 4.342
_cell_length_b 4.428
_cell_length_c 6.941
_cell_angle_alpha 73.99
_cell_angle_beta 71.96
_cell_angle_gamma 75.18
_symmetry_space_group_name_H-M 'P 1'
_symmetry_Int_Tables_number 1
loop_
_symmetry_equiv_pos_as_xyz
'x,y,z'
loop_
_atom_site_label
_atom_site_type_symbol
_atom_site_fract_x
_atom_site_fract_y
_atom_site_fract_z
Ag1 Ag 0.000 0.000 0.000
Ag2 Ag 0.429 0.443 0.940
B1 B 0.229 0.560 0.269
B2 B 0.863 0.833 0.365
W1 W 0.074 0.424 0.620
W2 W 0.322 0.995 0.368
W3 W 0.677 0.032 0.663
W4 W 0.744 0.411 0.303
```

---

No. 8
Compound: AgBW2
Source: Alexandria via LeMat-Bulk
Functional: PBE
Structure: optimized geometry

Calculated values
SG	Cm
energy	-8.614	eV per atom
E_form	95	kJ/mol of formula units

The structure in CIF format:
```
data_AgBW2
_cell_length_a 5.511
_cell_length_b 5.511
_cell_length_c 7.449
_cell_angle_alpha 93.42
_cell_angle_beta 93.42
_cell_angle_gamma 31.51
_symmetry_space_group_name_H-M 'P 1'
_symmetry_Int_Tables_number 1
loop_
_symmetry_equiv_pos_as_xyz
'x,y,z'
loop_
_atom_site_label
_atom_site_type_symbol
_atom_site_fract_x
_atom_site_fract_y
_atom_site_fract_z
Ag1 Ag 0.000 0.000 0.000
Ag2 Ag 0.728 0.728 0.943
B1 B 0.461 0.461 0.514
B2 B 0.977 0.977 0.386
W1 W 0.099 0.099 0.650
W2 W 0.340 0.340 0.246
W3 W 0.632 0.632 0.320
W4 W 0.805 0.805 0.574
```

---

No. 9
Compound: YAgB3
Source: Alexandria via LeMat-Bulk
Functional: PBE
Structure: optimized geometry

Calculated values
SG	Pm-3m
relative energy among the computed polymorphs	0.00	eV/f.u.
energy	-4.560	eV per atom
E_form	632	kJ/mol of formula units

The structure in CIF format:
```
data_YAgB3
_cell_length_a 4.218
_cell_length_b 4.218
_cell_length_c 4.218
_cell_angle_alpha 90.00
_cell_angle_beta 90.00
_cell_angle_gamma 90.00
_symmetry_space_group_name_H-M 'P 1'
_symmetry_Int_Tables_number 1
loop_
_symmetry_equiv_pos_as_xyz
'x,y,z'
loop_
_atom_site_label
_atom_site_type_symbol
_atom_site_fract_x
_atom_site_fract_y
_atom_site_fract_z
Y1 Y 0.000 0.000 0.000
Ag1 Ag 0.500 0.500 0.500
B1 B 0.000 0.500 0.500
B2 B 0.500 0.000 0.500
B3 B 0.500 0.500 0.000
```

---

No. 10
Compound: YAgB3
Source: Alexandria via LeMat-Bulk
Functional: PBE
Structure: optimized geometry

Calculated values
SG	Pm-3m
relative energy among the computed polymorphs	4.76	eV/f.u.
energy	-3.607	eV per atom
E_form	1092	kJ/mol of formula units

The structure in CIF format:
```
data_YAgB3
_cell_length_a 4.665
_cell_length_b 4.665
_cell_length_c 4.665
_cell_angle_alpha 90.00
_cell_angle_beta 90.00
_cell_angle_gamma 90.00
_symmetry_space_group_name_H-M 'P 1'
_symmetry_Int_Tables_number 1
loop_
_symmetry_equiv_pos_as_xyz
'x,y,z'
loop_
_atom_site_label
_atom_site_type_symbol
_atom_site_fract_x
_atom_site_fract_y
_atom_site_fract_z
Y1 Y 0.000 0.000 0.000
Ag1 Ag 0.500 0.500 0.500
B1 B 0.000 0.000 0.500
B2 B 0.000 0.500 0.000
B3 B 0.500 0.000 0.000
```

---

Look up the energy of the fourth one.
-8.739 eV per atom

---

Look up the energy of the second one.
-8.568 eV per atom

---

Among the records above, which one has the lowest energy?
number 5